1:
# LaMgTl2 SCAN single point on PBEsol structure
# M_tot	0.0	μB/cell
# SG	I4/mmm (139)
data_LaMgTl2
_chemical_formula_sum 'La1 Mg1 Tl2'
_symmetry_space_group_name_H-M 'P 1'
_symmetry_Int_Tables_number 1
_cell_length_a 5.322
_cell_length_b 5.320
_cell_length_c 5.320
_cell_angle_alpha 60.07
_cell_angle_beta 59.99
_cell_angle_gamma 59.99
loop_
_symmetry_equiv_pos_as_xyz
'x,y,z'
loop_
_atom_site_label
_atom_site_fract_x
_atom_site_fract_y
_atom_site_fract_z
_atom_site_occupancy
Tl1 0.750 0.250 0.250 1
Mg1 0.000 0.500 0.500 1
Tl2 0.250 0.750 0.750 1
La1 0.500 0.000 0.000 1

---

2:
# LaMgTl2 SCAN single point on PBEsol structure
# M_tot	0.0	μB/cell
# SG	I-4m2 (119)
data_LaMgTl2
_chemical_formula_sum 'La1 Mg1 Tl2'
_symmetry_space_group_name_H-M 'P 1'
_symmetry_Int_Tables_number 1
_cell_length_a 4.742
_cell_length_b 4.742
_cell_length_c 5.892
_cell_angle_alpha 113.73
_cell_angle_beta 113.73
_cell_angle_gamma 90.00
loop_
_symmetry_equiv_pos_as_xyz
'x,y,z'
loop_
_atom_site_label
_atom_site_fract_x
_atom_site_fract_y
_atom_site_fract_z
_atom_site_occupancy
Tl1 0.250 0.750 0.500 1
Tl2 0.000 0.000 0.000 1
La1 0.500 0.500 0.000 1
Mg1 0.750 0.250 0.500 1

---

3:
# LaMgTl2 SCAN single point on PBEsol structure
# M_tot	0.0	μB/cell
# SG	R-3m (166)
data_LaMgTl2
_chemical_formula_sum 'La1 Mg1 Tl2'
_symmetry_space_group_name_H-M 'P 1'
_symmetry_Int_Tables_number 1
_cell_length_a 4.848
_cell_length_b 4.853
_cell_length_c 6.053
_cell_angle_alpha 113.60
_cell_angle_beta 90.00
_cell_angle_gamma 119.96
loop_
_symmetry_equiv_pos_as_xyz
'x,y,z'
loop_
_atom_site_label
_atom_site_fract_x
_atom_site_fract_y
_atom_site_fract_z
_atom_site_occupancy
La1 0.500 0.000 0.000 1
Tl1 0.272 0.543 0.314 1
Mg1 0.000 0.000 0.500 1
Tl2 0.728 0.457 0.686 1

---

4:
# LaMgTl2 SCAN single point on PBEsol structure
# M_tot	0.6	μB/cell
# SG	P4/mmm (123)
data_LaMgTl2
_chemical_formula_sum 'La1 Mg1 Tl2'
_symmetry_space_group_name_H-M 'P 1'
_symmetry_Int_Tables_number 1
_cell_length_a 3.669
_cell_length_b 3.669
_cell_length_c 7.737
_cell_angle_alpha 90.00
_cell_angle_beta 90.00
_cell_angle_gamma 90.00
loop_
_symmetry_equiv_pos_as_xyz
'x,y,z'
loop_
_atom_site_label
_atom_site_fract_x
_atom_site_fract_y
_atom_site_fract_z
_atom_site_occupancy
La1 0.500 0.500 0.000 1
Tl1 0.000 0.000 0.282 1
Tl2 0.000 0.000 0.718 1
Mg1 0.500 0.500 0.500 1

---

Decreasing stability: 3, 1, 4, 2

---

1:
# LaMgW2 SCAN single point on PBEsol structure
# M_tot	0.0	μB/cell
# SG	C2/m (12)
data_LaMgW2
_chemical_formula_sum 'La1 Mg1 W2'
_symmetry_space_group_name_H-M 'P 1'
_symmetry_Int_Tables_number 1
_cell_length_a 2.803
_cell_length_b 5.565
_cell_length_c 5.734
_cell_angle_alpha 116.54
_cell_angle_beta 99.70
_cell_angle_gamma 99.01
loop_
_symmetry_equiv_pos_as_xyz
'x,y,z'
loop_
_atom_site_label
_atom_site_fract_x
_atom_site_fract_y
_atom_site_fract_z
_atom_site_occupancy
Mg1 0.000 0.500 0.000 1
La1 0.500 0.000 0.000 1
W1 0.500 0.500 0.500 1
W2 0.000 0.000 0.500 1

---

2:
# LaMgW2 SCAN single point on PBEsol structure
# M_tot	0.0	μB/cell
# SG	P4/mmm (123)
data_LaMgW2
_chemical_formula_sum 'La1 Mg1 W2'
_symmetry_space_group_name_H-M 'P 1'
_symmetry_Int_Tables_number 1
_cell_length_a 3.550
_cell_length_b 3.550
_cell_length_c 6.642
_cell_angle_alpha 90.00
_cell_angle_beta 90.00
_cell_angle_gamma 90.00
loop_
_symmetry_equiv_pos_as_xyz
'x,y,z'
loop_
_atom_site_label
_atom_site_fract_x
_atom_site_fract_y
_atom_site_fract_z
_atom_site_occupancy
Mg1 0.500 0.500 0.500 1
W1 0.000 0.000 0.322 1
La1 0.500 0.500 0.000 1
W2 0.000 0.000 0.678 1

---

3:
# LaMgW2 SCAN single point on PBEsol structure
# M_tot	0.0	μB/cell
# SG	Cmm2 (35)
data_LaMgW2
_chemical_formula_sum 'La1 Mg1 W2'
_symmetry_space_group_name_H-M 'P 1'
_symmetry_Int_Tables_number 1
_cell_length_a 2.917
_cell_length_b 2.917
_cell_length_c 10.111
_cell_angle_alpha 90.00
_cell_angle_beta 90.00
_cell_angle_gamma 111.96
loop_
_symmetry_equiv_pos_as_xyz
'x,y,z'
loop_
_atom_site_label
_atom_site_fract_x
_atom_site_fract_y
_atom_site_fract_z
_atom_site_occupancy
W1 0.000 0.000 0.980 1
Mg1 0.500 0.500 0.215 1
W2 0.500 0.500 0.784 1
La1 0.000 0.000 0.522 1

---

Decreasing stability: 3, 2, 1

---

1:
# LaMnPb2 SCAN single point on PBEsol structure
# M_tot	4.3	μB/cell
# SG	Fm-3m (225)
data_LaMnPb2
_chemical_formula_sum 'La1 Mn1 Pb2'
_symmetry_space_group_name_H-M 'P 1'
_symmetry_Int_Tables_number 1
_cell_length_a 5.259
_cell_length_b 5.259
_cell_length_c 5.259
_cell_angle_alpha 60.00
_cell_angle_beta 60.00
_cell_angle_gamma 60.00
loop_
_symmetry_equiv_pos_as_xyz
'x,y,z'
loop_
_atom_site_label
_atom_site_fract_x
_atom_site_fract_y
_atom_site_fract_z
_atom_site_occupancy
Mn1 0.000 0.000 0.000 1
La1 0.500 0.500 0.500 1
Pb1 0.750 0.750 0.750 1
Pb2 0.250 0.250 0.250 1

---

2:
# LaMnPb2 SCAN single point on PBEsol structure
# M_tot	3.0	μB/cell
# SG	Immm (71)
data_LaMnPb2
_chemical_formula_sum 'La1 Mn1 Pb2'
_symmetry_space_group_name_H-M 'P 1'
_symmetry_Int_Tables_number 1
_cell_length_a 3.380
_cell_length_b 5.775
_cell_length_c 6.161
_cell_angle_alpha 117.95
_cell_angle_beta 105.92
_cell_angle_gamma 90.00
loop_
_symmetry_equiv_pos_as_xyz
'x,y,z'
loop_
_atom_site_label
_atom_site_fract_x
_atom_site_fract_y
_atom_site_fract_z
_atom_site_occupancy
Mn1 0.000 0.500 0.000 1
Pb1 0.284 0.284 0.568 1
Pb2 0.716 0.716 0.432 1
La1 0.500 0.000 0.000 1

---

3:
# LaMnPb2 SCAN single point on PBEsol structure
# M_tot	4.2	μB/cell
# SG	I-4m2 (119)
data_LaMnPb2
_chemical_formula_sum 'La1 Mn1 Pb2'
_symmetry_space_group_name_H-M 'P 1'
_symmetry_Int_Tables_number 1
_cell_length_a 4.542
_cell_length_b 4.542
_cell_length_c 5.987
_cell_angle_alpha 112.29
_cell_angle_beta 112.29
_cell_angle_gamma 90.00
loop_
_symmetry_equiv_pos_as_xyz
'x,y,z'
loop_
_atom_site_label
_atom_site_fract_x
_atom_site_fract_y
_atom_site_fract_z
_atom_site_occupancy
La1 0.500 0.500 0.000 1
Mn1 0.250 0.750 0.500 1
Pb1 0.000 0.000 0.000 1
Pb2 0.750 0.250 0.500 1

---

Decreasing stability: 3, 1, 2

---

1:
# La2MnRe SCAN single point on PBEsol structure
# M_tot	4.3	μB/cell
# SG	Fm-3m (225)
data_La2MnRe
_chemical_formula_sum 'La2 Mn1 Re1'
_symmetry_space_group_name_H-M 'P 1'
_symmetry_Int_Tables_number 1
_cell_length_a 5.050
_cell_length_b 5.050
_cell_length_c 5.050
_cell_angle_alpha 60.00
_cell_angle_beta 60.00
_cell_angle_gamma 60.00
loop_
_symmetry_equiv_pos_as_xyz
'x,y,z'
loop_
_atom_site_label
_atom_site_fract_x
_atom_site_fract_y
_atom_site_fract_z
_atom_site_occupancy
Mn1 0.500 0.500 0.500 1
La1 0.750 0.750 0.750 1
La2 0.250 0.250 0.250 1
Re1 0.000 0.000 0.000 1

---

2:
# La2MnRe SCAN single point on PBEsol structure
# M_tot	0.0	μB/cell
# SG	Pm (6)
data_La2MnRe
_chemical_formula_sum 'La2 Mn1 Re1'
_symmetry_space_group_name_H-M 'P 1'
_symmetry_Int_Tables_number 1
_cell_length_a 3.063
_cell_length_b 3.778
_cell_length_c 8.046
_cell_angle_alpha 90.00
_cell_angle_beta 95.09
_cell_angle_gamma 90.00
loop_
_symmetry_equiv_pos_as_xyz
'x,y,z'
loop_
_atom_site_label
_atom_site_fract_x
_atom_site_fract_y
_atom_site_fract_z
_atom_site_occupancy
Mn1 0.062 0.000 0.575 1
La1 0.876 0.000 0.921 1
La2 0.642 0.500 0.333 1
Re1 0.420 0.500 0.671 1

---

Decreasing stability: 1, 2

---

1:
# La2ScMn SCAN single point on PBEsol structure
# M_tot	3.1	μB/cell
# SG	P4/mmm (123)
data_La2ScMn
_chemical_formula_sum 'La2 Sc1 Mn1'
_symmetry_space_group_name_H-M 'P 1'
_symmetry_Int_Tables_number 1
_cell_length_a 3.708
_cell_length_b 3.709
_cell_length_c 7.547
_cell_angle_alpha 90.05
_cell_angle_beta 90.00
_cell_angle_gamma 90.00
loop_
_symmetry_equiv_pos_as_xyz
'x,y,z'
loop_
_atom_site_label
_atom_site_fract_x
_atom_site_fract_y
_atom_site_fract_z
_atom_site_occupancy
Sc1 0.500 0.500 0.000 1
La1 0.000 0.000 0.723 1
Mn1 0.500 0.500 0.500 1
La2 0.000 0.000 0.277 1

---

2:
# La2ScMn SCAN single point on PBEsol structure
# M_tot	3.6	μB/cell
# SG	Cm (8)
data_La2ScMn
_chemical_formula_sum 'La2 Sc1 Mn1'
_symmetry_space_group_name_H-M 'P 1'
_symmetry_Int_Tables_number 1
_cell_length_a 3.613
_cell_length_b 5.299
_cell_length_c 6.253
_cell_angle_alpha 115.09
_cell_angle_beta 106.79
_cell_angle_gamma 90.00
loop_
_symmetry_equiv_pos_as_xyz
'x,y,z'
loop_
_atom_site_label
_atom_site_fract_x
_atom_site_fract_y
_atom_site_fract_z
_atom_site_occupancy
Sc1 0.790 0.291 0.580 1
La1 0.220 0.721 0.441 1
La2 0.002 0.002 0.005 1
Mn1 0.487 0.486 0.975 1

---

Decreasing stability: 2, 1

---

1:
# LaMnSe2 SCAN single point on PBEsol structure
# M_tot	4.0	μB/cell
# SG	Fm-3m (225)
data_LaMnSe2
_chemical_formula_sum 'La1 Mn1 Se2'
_symmetry_space_group_name_H-M 'P 1'
_symmetry_Int_Tables_number 1
_cell_length_a 4.932
_cell_length_b 4.932
_cell_length_c 4.932
_cell_angle_alpha 60.00
_cell_angle_beta 60.00
_cell_angle_gamma 60.00
loop_
_symmetry_equiv_pos_as_xyz
'x,y,z'
loop_
_atom_site_label
_atom_site_fract_x
_atom_site_fract_y
_atom_site_fract_z
_atom_site_occupancy
Se1 0.250 0.250 0.250 1
La1 0.000 0.000 0.000 1
Se2 0.750 0.750 0.750 1
Mn1 0.500 0.500 0.500 1

---

2:
# LaMnSe2 SCAN single point on PBEsol structure
# M_tot	4.1	μB/cell
# SG	Imm2 (44)
data_LaMnSe2
_chemical_formula_sum 'La1 Mn1 Se2'
_symmetry_space_group_name_H-M 'P 1'
_symmetry_Int_Tables_number 1
_cell_length_a 3.686
_cell_length_b 3.868
_cell_length_c 6.990
_cell_angle_alpha 106.06
_cell_angle_beta 105.29
_cell_angle_gamma 90.00
loop_
_symmetry_equiv_pos_as_xyz
'x,y,z'
loop_
_atom_site_label
_atom_site_fract_x
_atom_site_fract_y
_atom_site_fract_z
_atom_site_occupancy
Se1 0.722 0.222 0.445 1
Se2 0.943 0.943 0.886 1
Mn1 0.286 0.786 0.572 1
La1 0.549 0.549 0.098 1

---

3:
# LaMnSe2 SCAN single point on PBEsol structure
# M_tot	5.3	μB/cell
# SG	P4/mmm (123)
data_LaMnSe2
_chemical_formula_sum 'La1 Mn1 Se2'
_symmetry_space_group_name_H-M 'P 1'
_symmetry_Int_Tables_number 1
_cell_length_a 3.531
_cell_length_b 3.531
_cell_length_c 6.893
_cell_angle_alpha 90.00
_cell_angle_beta 90.00
_cell_angle_gamma 90.00
loop_
_symmetry_equiv_pos_as_xyz
'x,y,z'
loop_
_atom_site_label
_atom_site_fract_x
_atom_site_fract_y
_atom_site_fract_z
_atom_site_occupancy
La1 0.500 0.500 0.000 1
Se1 0.000 0.000 0.267 1
Se2 0.000 0.000 0.733 1
Mn1 0.500 0.500 0.500 1

---

4:
# LaMnSe2 SCAN single point on PBEsol structure
# M_tot	4.1	μB/cell
# SG	R-3m (166)
data_LaMnSe2
_chemical_formula_sum 'La1 Mn1 Se2'
_symmetry_space_group_name_H-M 'P 1'
_symmetry_Int_Tables_number 1
_cell_length_a 4.449
_cell_length_b 4.449
_cell_length_c 8.087
_cell_angle_alpha 74.04
_cell_angle_beta 74.04
_cell_angle_gamma 60.00
loop_
_symmetry_equiv_pos_as_xyz
'x,y,z'
loop_
_atom_site_label
_atom_site_fract_x
_atom_site_fract_y
_atom_site_fract_z
_atom_site_occupancy
Mn1 0.000 0.000 0.000 1
La1 0.500 0.500 0.500 1
Se1 0.102 0.102 0.695 1
Se2 0.898 0.898 0.305 1

---

Decreasing stability: 2, 4, 1, 3

---

1:
# LaMn2Tl SCAN single point on PBEsol structure
# M_tot	7.5	μB/cell
# SG	P4/mmm (123)
data_LaMn2Tl
_chemical_formula_sum 'La1 Mn2 Tl1'
_symmetry_space_group_name_H-M 'P 1'
_symmetry_Int_Tables_number 1
_cell_length_a 3.420
_cell_length_b 3.420
_cell_length_c 7.063
_cell_angle_alpha 90.00
_cell_angle_beta 90.00
_cell_angle_gamma 90.00
loop_
_symmetry_equiv_pos_as_xyz
'x,y,z'
loop_
_atom_site_label
_atom_site_fract_x
_atom_site_fract_y
_atom_site_fract_z
_atom_site_occupancy
Mn1 0.000 0.000 0.212 1
Tl1 0.500 0.500 0.000 1
Mn2 0.000 0.000 0.788 1
La1 0.500 0.500 0.500 1

---

2:
# LaMn2Tl SCAN single point on PBEsol structure
# M_tot	7.1	μB/cell
# SG	Imm2 (44)
data_LaMn2Tl
_chemical_formula_sum 'La1 Mn2 Tl1'
_symmetry_space_group_name_H-M 'P 1'
_symmetry_Int_Tables_number 1
_cell_length_a 3.190
_cell_length_b 4.822
_cell_length_c 6.037
_cell_angle_alpha 113.54
_cell_angle_beta 105.32
_cell_angle_gamma 90.00
loop_
_symmetry_equiv_pos_as_xyz
'x,y,z'
loop_
_atom_site_label
_atom_site_fract_x
_atom_site_fract_y
_atom_site_fract_z
_atom_site_occupancy
Mn1 0.959 0.959 0.918 1
La1 0.752 0.252 0.505 1
Mn2 0.257 0.757 0.514 1
Tl1 0.532 0.532 0.063 1

---

Decreasing stability: 1, 2

---

1:
# LaZr2Mn SCAN single point on PBEsol structure
# M_tot	4.6	μB/cell
# SG	F-43m (216)
data_LaZr2Mn
_chemical_formula_sum 'La1 Zr2 Mn1'
_symmetry_space_group_name_H-M 'P 1'
_symmetry_Int_Tables_number 1
_cell_length_a 4.966
_cell_length_b 4.966
_cell_length_c 4.966
_cell_angle_alpha 60.00
_cell_angle_beta 60.00
_cell_angle_gamma 60.00
loop_
_symmetry_equiv_pos_as_xyz
'x,y,z'
loop_
_atom_site_label
_atom_site_fract_x
_atom_site_fract_y
_atom_site_fract_z
_atom_site_occupancy
Zr1 0.000 0.000 0.000 1
Mn1 0.750 0.750 0.750 1
La1 0.500 0.500 0.500 1
Zr2 0.250 0.250 0.250 1

---

2:
# LaZr2Mn SCAN single point on PBEsol structure
# M_tot	0.0	μB/cell
# SG	Imm2 (44)
data_LaZr2Mn
_chemical_formula_sum 'La1 Zr2 Mn1'
_symmetry_space_group_name_H-M 'P 1'
_symmetry_Int_Tables_number 1
_cell_length_a 3.346
_cell_length_b 5.043
_cell_length_c 5.798
_cell_angle_alpha 115.77
_cell_angle_beta 106.77
_cell_angle_gamma 90.00
loop_
_symmetry_equiv_pos_as_xyz
'x,y,z'
loop_
_atom_site_label
_atom_site_fract_x
_atom_site_fract_y
_atom_site_fract_z
_atom_site_occupancy
Zr1 0.752 0.252 0.505 1
La1 0.539 0.539 0.079 1
Mn1 0.260 0.760 0.519 1
Zr2 0.949 0.949 0.898 1

---

Decreasing stability: 1, 2